MgHg2PO: relaxed, PBE.

Output
**Space-group type**: No. 123
**Calculated total energy**: -2.468 eV/atom
**Size of the total moment**: 0.00 μB/f.u.
**Formation energy (no corrections)**: 1.05 kcal/mol of atoms

Unit cell a=5.6243 b=5.6243 c=3.4912 alpha=90.00 beta=90.00 gamma=90.00
Positions (direct):
Mg (0.0000, 0.0000, 0.0000)
Hg (0.0000, 0.5000, 0.5000)
Hg (0.5000, 0.0000, 0.5000)
P (0.5000, 0.5000, 0.0000)
O (0.5000, 0.5000, 0.5000)

---

Ba6RhS2Br3: relaxed, PBE.

Output
**Space-group type**: No. 12
**Calculated total energy**: -4.238 eV/atom
**Size of the total moment**: 1.95 μB/f.u.
**Formation energy (no corrections)**: -35.92 kcal/mol of atoms

Unit cell a=8.0197 b=8.0197 c=8.3884 alpha=99.24 beta=99.24 gamma=119.91
Positions (direct):
Ba (0.0706, 0.3938, 0.2110)
Ba (0.2541, 0.2541, 0.7879)
Ba (0.3938, 0.0706, 0.2110)
Ba (0.6062, 0.9294, 0.7890)
Ba (0.7459, 0.7459, 0.2121)
Ba (0.9294, 0.6062, 0.7890)
Rh (0.0000, 0.0000, 0.0000)
S (0.3333, 0.6667, 0.0000)
S (0.6667, 0.3333, 0.0000)
Br (0.1699, 0.8301, 0.5000)
Br (0.5000, 0.5000, 0.5000)
Br (0.8301, 0.1699, 0.5000)

---

InPtSe: relaxed, PBE.

Output
**Space-group type**: No. 31
**Calculated total energy**: -4.372 eV/atom
**Size of the total moment**: 0.00 μB/f.u.
**Formation energy (no corrections)**: -6.56 kcal/mol of atoms

Unit cell a=4.0864 b=6.3951 c=4.9770 alpha=90.00 beta=90.00 gamma=90.00
Positions (direct):
In (0.0000, 0.0609, 0.0000)
In (0.5000, 0.9391, 0.5000)
Pt (0.0000, 0.2488, 0.5016)
Pt (0.5000, 0.7512, 0.0016)
Se (0.0000, 0.5947, 0.7636)
Se (0.5000, 0.4053, 0.2636)

---

SrAc2Ir: relaxed, PBE.

Output
**Space-group type**: No. 63
**Calculated total energy**: -4.996 eV/atom
**Formation enthalpy at 0 K**: -1.2 eV/f.u.
**Size of the total moment**: 0.00 μB/f.u.

Unit cell a=4.2517 b=13.7426 c=9.9654 alpha=90.00 beta=90.00 gamma=90.00
Positions (direct):
Sr (0.0000, 0.0828, 0.2500)
Sr (0.0000, 0.9172, 0.7500)
Sr (0.5000, 0.4172, 0.7500)
Sr (0.5000, 0.5828, 0.2500)
Ac (0.0000, 0.3522, 0.0677)
Ac (0.0000, 0.3522, 0.4323)
Ac (0.0000, 0.6478, 0.5677)
Ac (0.0000, 0.6478, 0.9323)
Ac (0.5000, 0.1478, 0.5677)
Ac (0.5000, 0.1478, 0.9323)
Ac (0.5000, 0.8522, 0.0677)
Ac (0.5000, 0.8522, 0.4323)
Ir (0.0000, 0.2404, 0.7500)
Ir (0.0000, 0.7596, 0.2500)
Ir (0.5000, 0.2596, 0.2500)
Ir (0.5000, 0.7404, 0.7500)

---

InTe2Cl: relaxed, PBE.

Output
**Space-group type**: No. 99
**Calculated total energy**: -3.029 eV/atom
**Size of the total moment**: 0.00 μB/f.u.
**Formation energy (no corrections)**: -7.19 kcal/mol of atoms

Unit cell a=4.0869 b=4.0869 c=8.5391 alpha=90.00 beta=90.00 gamma=90.00
Positions (direct):
In (0.0000, 0.0000, 0.0000)
Te (0.0000, 0.0000, 0.5043)
Te (0.5000, 0.5000, 0.3994)
Cl (0.5000, 0.5000, 0.8824)

---

HfTlS2N: relaxed, PBE.

Output
**Space-group type**: No. 123
**Calculated total energy**: -6.183 eV/atom
**Size of the total moment**: 1.95 μB/f.u.
**Formation energy (no corrections)**: -9.29 kcal/mol of atoms

Unit cell a=5.0932 b=5.0932 c=4.2356 alpha=90.00 beta=90.00 gamma=90.00
Positions (direct):
Hf (0.0000, 0.0000, 0.0000)
Tl (0.5000, 0.5000, 0.5000)
S (0.0000, 0.5000, 0.0000)
S (0.5000, 0.0000, 0.0000)
N (0.0000, 0.0000, 0.5000)

---

CaSm3Dy6Y2: relaxed, PBE.

Output
**Space-group type**: No. 12
**Calculated total energy**: -4.673 eV/atom
**Formation enthalpy at 0 K**: 0.6 eV/f.u.
**Size of the total moment**: 0.00 μB/f.u.

Unit cell a=6.2252 b=6.2252 c=11.8913 alpha=94.99 beta=94.99 gamma=120.00
Positions (direct):
Ca (0.0000, 0.0000, 0.0000)
Sm (0.1656, 0.8344, 0.5000)
Sm (0.5000, 0.5000, 0.5000)
Sm (0.8344, 0.1656, 0.5000)
Dy (0.0843, 0.4232, 0.2517)
Dy (0.2544, 0.2544, 0.7481)
Dy (0.4232, 0.0843, 0.2517)
Dy (0.5768, 0.9157, 0.7483)
Dy (0.7456, 0.7456, 0.2519)
Dy (0.9157, 0.5768, 0.7483)
Y (0.3334, 0.6666, 0.0000)
Y (0.6666, 0.3334, 0.0000)

---

IrOs2Pb: relaxed, PBE.

Output
**Space-group type**: No. 12
**Calculated total energy**: -7.713 eV/atom
**Formation enthalpy at 0 K**: 4.2 eV/f.u.
**Size of the total moment**: 0.01 μB/f.u.

Unit cell a=5.4469 b=10.2284 c=2.8983 alpha=90.00 beta=122.04 gamma=90.00
Positions (direct):
Ir (0.0000, 0.0000, 0.0000)
Ir (0.5000, 0.5000, 0.0000)
Os (0.2500, 0.2500, 0.0000)
Os (0.2500, 0.7500, 0.0000)
Os (0.7500, 0.2500, 0.0000)
Os (0.7500, 0.7500, 0.0000)
Pb (0.0000, 0.5000, 0.0000)
Pb (0.5000, 0.0000, 0.0000)

---

What did the fifth record say?
InTe2Cl: relaxed, PBE.

Output
**Space-group type**: No. 99
**Calculated total energy**: -3.029 eV/atom
**Size of the total moment**: 0.00 μB/f.u.
**Formation energy (no corrections)**: -7.19 kcal/mol of atoms

Unit cell a=4.0869 b=4.0869 c=8.5391 alpha=90.00 beta=90.00 gamma=90.00
Positions (direct):
In (0.0000, 0.0000, 0.0000)
Te (0.0000, 0.0000, 0.5043)
Te (0.5000, 0.5000, 0.3994)
Cl (0.5000, 0.5000, 0.8824)

---

Question: calculated total energy of number 1 (MgHg2PO)?
Answer: -2.468 eV/atom